The following is a GGA-PBE calculation of a geometry-optimized Sr2InI structure, from the Alexandria database.

The structure in POSCAR format:
```
Sr2InI
1.0
-5.0278 0.5655 -7.3324
-7.3474 -0.0075 5.0375
-6.0356 4.5886 -0.9193
In Sr I
2 4 2
Direct
0.5000 0.5000 0.0000
0.2500 0.7500 0.5000
0.1248 0.6250 0.2500
0.8750 0.8752 0.7500
0.6252 0.1250 0.2500
0.3750 0.3748 0.7500
0.7500 0.2500 0.5000
0.0000 0.0000 0.0000
```

Total energy (eV per atom): -2.458
Relative energy among the computed polymorphs (eV/atom): 0.2553
Energy relative to the elements, uncorrected (eV per atom): -0.544
Total moment (Bohr magnetons per cell): 0.000
Symmetry: I-42d